Entry 1:
LiBe2Au8 | PBE | relaxed

Calculated values
Energy relative to the elements, eV per atom: -0.1834

Unit cell a=7.712 b=11.010 c=4.386 alpha=90.00 beta=105.44 gamma=90.00
Space group C2/m (No. 12)
Inequivalent atoms, fractional coordinates:
Li (0.000, 0.000, 0.000) [2 per cell]
Be (0.000, 0.324, 0.500) [4 per cell]
Au (0.000, 0.246, 0.000) [4 per cell]
Au (0.125, 0.500, 0.818) [4 per cell]
Au (0.193, 0.131, 0.586) [8 per cell]



Entry 2:
CeInBr | PBE | relaxed

Calculated values
Formation energy from raw total energies, meV/atom: -958.4

Unit cell a=7.952 b=4.595 c=11.316 alpha=90.00 beta=92.16 gamma=90.00
Space group C2/m (No. 12)
Inequivalent atoms, fractional coordinates:
Ce (0.011, 0.000, 0.201) [4 per cell]
In (0.164, 0.500, 0.958) [4 per cell]
Br (0.185, 0.500, 0.344) [4 per cell]



Entry 3:
Mg3In4Bi | PBE | relaxed

Calculated values
Energy relative to the elements, eV per atom: -0.0576

Unit cell a=3.381 b=5.494 c=11.105 alpha=86.89 beta=81.45 gamma=89.71
Space group P-1 (No. 2)
Inequivalent atoms, fractional coordinates:
Mg (0.000, 0.000, 0.000) [1 per cell]
Mg (0.124, 0.542, 0.744) [2 per cell]
In (0.254, 0.252, 0.494) [2 per cell]
In (0.380, 0.956, 0.247) [2 per cell]
Bi (0.500, 0.500, 0.000) [1 per cell]



Entry 4:
SiHg5 | PBE | relaxed

Calculated values
Formation energy from raw total energies, meV/atom: 246.3

Unit cell a=3.028 b=3.028 c=16.235 alpha=90.00 beta=90.00 gamma=90.00
Space group P4/mmm (No. 123)
Inequivalent atoms, fractional coordinates:
Si (0.000, 0.000, 0.000) [1 per cell]
Hg (0.000, 0.000, 0.317) [2 per cell]
Hg (0.500, 0.500, 0.142) [2 per cell]
Hg (0.500, 0.500, 0.500) [1 per cell]



Entry 5:
Ac2ZrAl4Au3 | PBE | relaxed

Calculated values
Energy relative to the elements, eV per atom: -0.6095

Unit cell a=4.476 b=4.476 c=11.419 alpha=90.00 beta=90.00 gamma=90.00
Space group P-4m2 (No. 115)
Inequivalent atoms, fractional coordinates:
Ac (0.000, 0.500, 0.244) [2 per cell]
Zr (0.000, 0.000, 0.500) [1 per cell]
Al (0.000, 0.000, 0.000) [1 per cell]
Al (0.000, 0.500, 0.647) [2 per cell]
Al (0.500, 0.500, 0.000) [1 per cell]
Au (0.000, 0.500, 0.877) [2 per cell]
Au (0.500, 0.500, 0.500) [1 per cell]



Entry 6:
ScHgF2 | PBE | relaxed

Calculated values
Formation energy from raw total energies, meV/atom: -2354.7

Unit cell a=3.3427 b=3.3427 c=27.2181 alpha=90.00 beta=90.00 gamma=120.00
Space group R-3m (No. 166, hexagonal axes)
Inequivalent atoms, fractional coordinates:
Sc (0.0000, 0.0000, 0.0000) [3 per cell]
Hg (0.0000, 0.0000, 0.5000) [3 per cell]
F (0.0000, 0.0000, 0.3717) [6 per cell]



Entry 7:
AcYCl | PBE | relaxed

Calculated values
Formation energy from raw total energies, meV/atom: -390.9

Unit cell a=10.779 b=10.779 c=6.453 alpha=90.00 beta=90.00 gamma=90.00
Space group P4_2/mmc (No. 131)
Inequivalent atoms, fractional coordinates:
Ac (0.000, 0.160, 0.000) [4 per cell]
Y (0.000, 0.323, 0.500) [4 per cell]
Cl (0.170, 0.500, 0.500) [4 per cell]



Entry 8:
MnAl3 | PBE | relaxed

Calculated values
Energy relative to the elements, eV per atom: -0.1830

Unit cell a=4.542 b=5.265 c=4.756 alpha=90.00 beta=90.00 gamma=90.00
Space group Pmmn (No. 59, origin choice 2)
Inequivalent atoms, fractional coordinates:
Mn (0.250, 0.250, 0.152) [2 per cell]
Al (0.250, 0.001, 0.657) [4 per cell]
Al (0.250, 0.750, 0.142) [2 per cell]



Entry 9:
Ho2Th4N | PBE | relaxed

Calculated values
Formation energy from raw total energies, meV/atom: -210.1

Unit cell a=5.059 b=5.059 c=17.024 alpha=90.00 beta=90.00 gamma=90.00
Space group I4/mmm (No. 139)
Inequivalent atoms, fractional coordinates:
Ho (0.000, 0.000, 0.148) [4 per cell]
Th (0.000, 0.000, 0.360) [4 per cell]
Th (0.000, 0.500, 0.000) [4 per cell]
N (0.000, 0.000, 0.500) [2 per cell]



Entry 10:
Ac2Nd12Ho5 | PBE | relaxed

Calculated values
Energy relative to the elements, eV per atom: 0.1121

Unit cell a=18.204 b=11.793 c=6.357 alpha=90.00 beta=100.77 gamma=90.00
Space group C2/m (No. 12)
Inequivalent atoms, fractional coordinates:
Ac (0.000, 0.209, 0.000) [4 per cell]
Nd (0.083, 0.000, 0.372) [4 per cell]
Nd (0.103, 0.266, 0.612) [8 per cell]
Nd (0.105, 0.500, 0.025) [4 per cell]
Nd (0.207, 0.259, 0.217) [8 per cell]
Ho (0.000, 0.500, 0.500) [2 per cell]
Ho (0.176, 0.000, 0.895) [4 per cell]
Ho (0.217, 0.500, 0.563) [4 per cell]



Entry 11:
CeThAsP | PBE | relaxed

Calculated values
Energy relative to the elements, eV per atom: -1.4616

Unit cell a=4.196 b=4.196 c=5.898 alpha=90.00 beta=90.00 gamma=90.00
Space group P4/mmm (No. 123)
Inequivalent atoms, fractional coordinates:
Ce (0.000, 0.000, 0.000) [1 per cell]
Th (0.500, 0.500, 0.500) [1 per cell]
As (0.000, 0.000, 0.500) [1 per cell]
P (0.500, 0.500, 0.000) [1 per cell]



Entry 12:
V2ZnPt5Rh | PBE | relaxed

Calculated values
Energy relative to the elements, eV per atom: -0.0089

Unit cell a=7.298 b=7.298 c=10.773 alpha=90.00 beta=90.00 gamma=90.00
Space group I4/mcm (No. 140)
Inequivalent atoms, fractional coordinates:
V (0.100, 0.400, 0.000) [8 per cell]
Zn (0.000, 0.000, 0.250) [4 per cell]
Pt (0.000, 0.000, 0.000) [4 per cell]
Pt (0.211, 0.289, 0.371) [16 per cell]
Rh (0.000, 0.500, 0.250) [4 per cell]



| no. | energy (eV/cell) |
| --- | --- |
| 1 | -75.20 |
| 2 | -52.88 |
| 3 | -20.08 |
| 4 | -5.45 |
| 5 | -47.66 |
| 6 | -59.38 |
| 7 | -54.37 |
| 8 | -42.26 |
| 9 | -97.26 |
| 10 | -172.38 |
| 11 | -29.26 |
| 12 | -228.59 |